Below is a relaxed structure of NaCeZn2, with properties calculated at the PBE level. Values from VASP.

The structure in Quantum ESPRESSO input format:
```
&SYSTEM
  ibrav = 0, nat = 4, ntyp = 3
/
ATOMIC_SPECIES
Na 22.99 Na.upf
Ce 140.12 Ce.upf
Zn 65.41 Zn.upf
CELL_PARAMETERS angstrom
3.2750 0.0000 0.0000
0.0000 3.2750 0.0000
0.0000 0.0000 8.4069
ATOMIC_POSITIONS crystal
Na 0.0000 0.0000 0.0000
Ce 0.0000 0.0000 0.5000
Zn 0.5000 0.5000 0.2541
Zn 0.5000 0.5000 0.7459
```

Results
Symmetry: P4/mmm, No. 123
Density of states at the Fermi level in states/eV/f.u.: 4.26
Total energy in eV per cell: -9.895
Spin magnetization in μB/cell: 0.08
Energy of formation in meV per atom: -24


Below is a relaxed structure of NaCeZn2, with properties calculated at the PBE level. Values from VASP.

The structure in Quantum ESPRESSO input format:
```
&SYSTEM
  ibrav = 0, nat = 4, ntyp = 3
/
ATOMIC_SPECIES
Na 22.99 Na.upf
Ce 140.12 Ce.upf
Zn 65.41 Zn.upf
CELL_PARAMETERS angstrom
0.0000 3.5677 3.5677
3.5677 0.0000 3.5677
3.5677 3.5677 0.0000
ATOMIC_POSITIONS crystal
Na 0.0000 0.0000 0.0000
Ce 0.5000 0.5000 0.5000
Zn 0.2500 0.2500 0.2500
Zn 0.7500 0.7500 0.7500
```

Results
Symmetry: Fm-3m, No. 225
Density of states at the Fermi level in states/eV/f.u.: 6.65
Total energy in eV per cell: -9.915
Spin magnetization in μB/cell: 0.97
Energy of formation in meV per atom: -29


Below is a relaxed structure of CeNb3, with properties calculated at the PBE level. Values from VASP.

The structure in Quantum ESPRESSO input format:
```
&SYSTEM
  ibrav = 0, nat = 4, ntyp = 2
/
ATOMIC_SPECIES
Ce 140.12 Ce.upf
Nb 92.91 Nb.upf
CELL_PARAMETERS angstrom
0.0000 3.4215 3.4215
3.4215 0.0000 3.4215
3.4215 3.4215 0.0000
ATOMIC_POSITIONS crystal
Ce 0.0000 0.0000 0.0000
Nb 0.2500 0.2500 0.2500
Nb 0.5000 0.5000 0.5000
Nb 0.7500 0.7500 0.7500
```

Results
Symmetry: Fm-3m, No. 225
Density of states at the Fermi level in states/eV/f.u.: 6.67
Total energy in eV per cell: -35.509
Spin magnetization in μB/cell: 0.00
Energy of formation in meV per atom: 158


Below is a relaxed structure of CeNb2, with properties calculated at the PBE level. Values from VASP.

The structure in Quantum ESPRESSO input format:
```
&SYSTEM
  ibrav = 0, nat = 6, ntyp = 2
/
ATOMIC_SPECIES
Ce 140.12 Ce.upf
Nb 92.91 Nb.upf
CELL_PARAMETERS angstrom
0.0000 4.0366 4.0366
4.0366 0.0000 4.0366
4.0366 4.0366 0.0000
ATOMIC_POSITIONS crystal
Ce 0.1250 0.1250 0.1250
Ce 0.8750 0.8750 0.8750
Nb 0.0000 0.5000 0.5000
Nb 0.5000 0.0000 0.5000
Nb 0.5000 0.5000 0.0000
Nb 0.5000 0.5000 0.5000
```

Results
Symmetry: Fd-3m, No. 227
Density of states at the Fermi level in states/eV/f.u.: 4.43
Total energy in eV per cell: -51.060
Spin magnetization in μB/cell: 0.00
Energy of formation in meV per atom: 181


Below is a relaxed structure of Ce4Nb, with properties calculated at the PBE level. Values from VASP.

The structure in Quantum ESPRESSO input format:
```
&SYSTEM
  ibrav = 0, nat = 5, ntyp = 2
/
ATOMIC_SPECIES
Ce 140.12 Ce.upf
Nb 92.91 Nb.upf
CELL_PARAMETERS angstrom
5.4349 0.0000 0.0000
0.0000 5.4349 0.0000
0.0000 0.0000 5.4349
ATOMIC_POSITIONS crystal
Ce 0.0000 0.0000 0.0000
Ce 0.0000 0.5000 0.5000
Ce 0.5000 0.0000 0.5000
Ce 0.5000 0.5000 0.0000
Nb 0.5000 0.5000 0.5000
```

Results
Symmetry: Pm-3m, No. 221
Density of states at the Fermi level in states/eV/f.u.: 19.57
Total energy in eV per cell: -31.270
Spin magnetization in μB/cell: 2.64
Energy of formation in meV per atom: 507


Below is a relaxed structure of Ce5Nb, with properties calculated at the PBE level. Values from VASP.

The structure in Quantum ESPRESSO input format:
```
&SYSTEM
  ibrav = 0, nat = 6, ntyp = 2
/
ATOMIC_SPECIES
Ce 140.12 Ce.upf
Nb 92.91 Nb.upf
CELL_PARAMETERS angstrom
2.3156 -6.8953 0.0000
2.3156 6.8953 0.0000
0.0000 0.0000 4.6823
ATOMIC_POSITIONS crystal
Ce 0.0000 0.0000 0.0000
Ce 0.1671 0.8329 0.5000
Ce 0.3397 0.6603 0.0000
Ce 0.6603 0.3397 0.0000
Ce 0.8329 0.1671 0.5000
Nb 0.5000 0.5000 0.5000
```

Results
Symmetry: Cmmm, No. 65
Density of states at the Fermi level in states/eV/f.u.: 13.24
Total energy in eV per cell: -38.938
Spin magnetization in μB/cell: 0.00
Energy of formation in meV per atom: 134


Below is a relaxed structure of CeNbNi2, with properties calculated at the PBE level. Values from VASP.

The structure in Quantum ESPRESSO input format:
```
&SYSTEM
  ibrav = 0, nat = 4, ntyp = 3
/
ATOMIC_SPECIES
Ce 140.12 Ce.upf
Nb 92.91 Nb.upf
Ni 58.69 Ni.upf
CELL_PARAMETERS angstrom
2.1345 1.2324 4.8448
-2.1345 1.2324 4.8448
0.0000 -2.4648 4.8448
ATOMIC_POSITIONS crystal
Ce 0.0000 0.0000 0.0000
Nb 0.5000 0.5000 0.5000
Ni 0.2010 0.2010 0.2010
Ni 0.7990 0.7990 0.7990
```

Results
Symmetry: R-3m, No. 166
Density of states at the Fermi level in states/eV/f.u.: 6.32
Total energy in eV per cell: -28.035
Spin magnetization in μB/cell: 0.55
Energy of formation in meV per atom: -117


Below is a relaxed structure of CeNbNi4, with properties calculated at the PBE level. Values from VASP.

The structure in Quantum ESPRESSO input format:
```
&SYSTEM
  ibrav = 0, nat = 6, ntyp = 3
/
ATOMIC_SPECIES
Ce 140.12 Ce.upf
Nb 92.91 Nb.upf
Ni 58.69 Ni.upf
CELL_PARAMETERS angstrom
0.0000 3.5098 3.5098
3.5098 0.0000 3.5098
3.5098 3.5098 0.0000
ATOMIC_POSITIONS crystal
Ce 0.0000 0.0000 0.0000
Nb 0.7500 0.7500 0.7500
Ni 0.3761 0.3761 0.3761
Ni 0.3761 0.3761 0.8717
Ni 0.3761 0.8717 0.3761
Ni 0.8717 0.3761 0.3761
```

Results
Symmetry: F-43m, No. 216
Density of states at the Fermi level in states/eV/f.u.: 10.11
Total energy in eV per cell: -40.106
Spin magnetization in μB/cell: 2.33
Energy of formation in meV per atom: -163


Below is a relaxed structure of CeNb2Ni9, with properties calculated at the PBE level. Values from VASP.

The structure in Quantum ESPRESSO input format:
```
&SYSTEM
  ibrav = 0, nat = 12, ntyp = 3
/
ATOMIC_SPECIES
Ce 140.12 Ce.upf
Nb 92.91 Nb.upf
Ni 58.69 Ni.upf
CELL_PARAMETERS angstrom
2.4141 1.3938 7.9239
-2.4141 1.3938 7.9239
0.0000 -2.7876 7.9239
ATOMIC_POSITIONS crystal
Ce 0.0000 0.0000 0.0000
Nb 0.1434 0.1434 0.1434
Nb 0.8566 0.8566 0.8566
Ni 0.0827 0.5888 0.5888
Ni 0.3335 0.3335 0.3335
Ni 0.4112 0.4112 0.9173
Ni 0.4112 0.9173 0.4112
Ni 0.5000 0.5000 0.5000
Ni 0.5888 0.0827 0.5888
Ni 0.5888 0.5888 0.0827
Ni 0.6665 0.6665 0.6665
Ni 0.9173 0.4112 0.4112
```

Results
Symmetry: R-3m, No. 166
Density of states at the Fermi level in states/eV/f.u.: 12.62
Total energy in eV per cell: -81.363
Spin magnetization in μB/cell: 0.00
Energy of formation in meV per atom: -272


Below is a relaxed structure of Ce2NbNi, with properties calculated at the PBE level. Values from VASP.

The structure in Quantum ESPRESSO input format:
```
&SYSTEM
  ibrav = 0, nat = 4, ntyp = 3
/
ATOMIC_SPECIES
Ce 140.12 Ce.upf
Nb 92.91 Nb.upf
Ni 58.69 Ni.upf
CELL_PARAMETERS angstrom
1.4925 0.8617 10.4386
-1.4925 0.8617 10.4386
0.0000 -1.7234 10.4386
ATOMIC_POSITIONS crystal
Ce 0.0924 0.0924 0.0924
Ce 0.9076 0.9076 0.9076
Nb 0.0000 0.0000 0.0000
Ni 0.5000 0.5000 0.5000
```

Results
Symmetry: R-3m, No. 166
Density of states at the Fermi level in states/eV/f.u.: 7.12
Total energy in eV per cell: -26.388
Spin magnetization in μB/cell: 0.00
Energy of formation in meV per atom: 333


Below is a relaxed structure of CeNbNi2, with properties calculated at the PBE level. Values from VASP.

The structure in Quantum ESPRESSO input format:
```
&SYSTEM
  ibrav = 0, nat = 4, ntyp = 3
/
ATOMIC_SPECIES
Ce 140.12 Ce.upf
Nb 92.91 Nb.upf
Ni 58.69 Ni.upf
CELL_PARAMETERS angstrom
3.1498 0.0000 0.0000
0.0000 3.1498 0.0000
0.0000 0.0000 6.8811
ATOMIC_POSITIONS crystal
Ce 0.0000 0.0000 0.0000
Nb 0.0000 0.0000 0.5000
Ni 0.5000 0.5000 0.3035
Ni 0.5000 0.5000 0.6965
```

Results
Symmetry: P4/mmm, No. 123
Density of states at the Fermi level in states/eV/f.u.: 5.90
Total energy in eV per cell: -28.113
Spin magnetization in μB/cell: 0.00
Energy of formation in meV per atom: -137


Below is a relaxed structure of CeNbNi10, with properties calculated at the PBE level. Values from VASP.

The structure in Quantum ESPRESSO input format:
```
&SYSTEM
  ibrav = 0, nat = 12, ntyp = 3
/
ATOMIC_SPECIES
Ce 140.12 Ce.upf
Nb 92.91 Nb.upf
Ni 58.69 Ni.upf
CELL_PARAMETERS angstrom
3.9799 0.0000 0.0000
0.0000 4.7615 0.0000
0.0000 0.0000 8.2724
ATOMIC_POSITIONS crystal
Ce 0.0000 0.0000 0.0000
Nb 0.0000 0.5000 0.5000
Ni 0.0000 0.0000 0.3413
Ni 0.0000 0.0000 0.6587
Ni 0.0000 0.5000 0.1780
Ni 0.0000 0.5000 0.8220
Ni 0.5000 0.0000 0.5000
Ni 0.5000 0.2566 0.2608
Ni 0.5000 0.2566 0.7392
Ni 0.5000 0.5000 0.0000
Ni 0.5000 0.7434 0.2608
Ni 0.5000 0.7434 0.7392
```

Results
Symmetry: Pmmm, No. 47
Density of states at the Fermi level in states/eV/f.u.: 16.05
Total energy in eV per cell: -76.030
Spin magnetization in μB/cell: 1.35
Energy of formation in meV per atom: -184